# 1
This record from Alexandria describes crystalline Mg3CdBi at its relaxed geometry. The functional is PBE.

a = 5.6239 Å, b = 5.6239 Å, c = 5.6239 Å
α = 90.00°, β = 90.00°, γ = 90.00°
Sites, in units of the cell vectors:
Cd 0.5000 0.5000 0.5000
Bi 0.0000 0.0000 0.0000
Mg 0.0000 0.0000 0.5000
Mg 0.5000 0.0000 0.0000
Mg 0.0000 0.5000 0.0000

The calculation puts the formation energy at 384.1 meV/atom. As for the space-group type: No. 221.

# 2
This record from Alexandria describes crystalline Dy2TmF at its relaxed geometry. The functional is PBE.

a = 3.6667 Å, b = 3.6667 Å, c = 8.6444 Å
α = 77.76°, β = 77.76°, γ = 60.00°
Sites, in units of the cell vectors:
Dy 0.2767 0.2767 0.1700
F 0.0000 0.0000 0.0000
Dy 0.7233 0.7233 0.8300
Tm 0.5000 0.5000 0.5000

As for the space-group type: No. 166. The formation energy (no corrections) comes out at -1.137 eV/atom.

# 3
This record from Alexandria describes crystalline ThTlCdSn at its relaxed geometry. The functional is PBE.

a = 4.7543 Å, b = 4.5951 Å, c = 4.9210 Å
α = 90.00°, β = 90.00°, γ = 90.00°
Sites, in units of the cell vectors:
Sn 0.5000 0.0000 0.5000
Th 0.0000 0.5000 0.5000
Tl 0.0000 0.0000 0.0000
Cd 0.5000 0.5000 0.0000

The calculation puts the formation energy at -297.5 meV/atom. As for the space-group type: No. 47.